DFT (PBE) results for a relaxed LiPuCdAu crystal.

The spin magnetization is 6.2 μB/f.u. Its formation energy is -0.76 eV/f.u. As for the density of states at the Fermi level: 45.352 states/eV/cell. Its energy above the most stable polymorph in this dataset is 0.123 eV/atom.

It has space group F-43m (No. 216), with a = 7.017 Å, b = 7.017 Å, c = 7.017 Å, α = 90.00°, β = 90.00° and γ = 90.00°. The asymmetric unit holds Li at (0.000, 0.000, 0.000), Pu at (0.250, 0.250, 0.750), Cd at (0.250, 0.250, 0.250) and Au at (0.000, 0.000, 0.500).